A relaxed structure of CaLa3Pm, computed with PBE-GGA.

spin magnetization: 0.00 Bohr magnetons per cell
raw total energy: -4.235 eV per atom
energy of formation from the pure elements: 0.361 eV per formula unit
ΔE to the lowest computed polymorph: 0 meV/atom

Cell: 18.777 5.764 7.394 Å, 90.00 112.47 90.00°
Space group C2/m (No. 12)
Inequivalent atoms, fractional coordinates:
Ca  0.107  0.000  0.108 x4
La  0.003  0.500  0.268 x4
La  0.104  0.000  0.609 x4
La  0.205  0.500  0.450 x4
Pm  0.200  0.500  0.948 x4



A relaxed structure of Ca2LaPm4, computed with PBE-GGA.

spin magnetization: 0.02 Bohr magnetons per cell
raw total energy: -3.418 eV per atom
energy of formation from the pure elements: 4.009 eV per formula unit
ΔE to the lowest computed polymorph: 492 meV/atom

Cell: 5.697 5.697 17.885 Å, 90.00 90.00 90.00°
Space group I4/mmm (No. 139)
Inequivalent atoms, fractional coordinates:
Ca  0.000  0.000  0.128 x4
La  0.000  0.000  0.500 x2
Pm  0.000  0.000  0.329 x4
Pm  0.000  0.500  0.000 x4



A relaxed structure of Ca2La8Pm3, computed with PBE-GGA.

spin magnetization: 0.00 Bohr magnetons per cell
raw total energy: -4.271 eV per atom
energy of formation from the pure elements: 2.156 eV per formula unit

Cell: 13.659 12.042 6.373 Å, 90.00 113.26 90.00°
Space group C2/m (No. 12)
Inequivalent atoms, fractional coordinates:
Ca  0.194  0.000  0.316 x4
La  0.075  0.000  0.734 x4
La  0.142  0.500  0.083 x4
La  0.160  0.249  0.667 x8
Pm  0.000  0.243  0.000 x4
Pm  0.000  0.500  0.500 x2